No. 1
The following is a DFT calculation (PBE) of crystalline KNa2Hg9 at its relaxed geometry.

It has space group P4/mmm (No. 123), with a = 4.8083 Å, b = 4.8083 Å, c = 14.3799 Å, α = 90.00°, β = 90.00° and γ = 90.00°. The inequivalent atoms are K at (0.0000, 0.0000, 0.0000), Na at (0.0000, 0.0000, 0.3420), Hg at (0.0000, 0.5000, 0.1811), Hg at (0.0000, 0.5000, 0.5000), Hg at (0.5000, 0.5000, 0.0000) and Hg at (0.5000, 0.5000, 0.3407).

The volume is 332 Å³ per cell. For the density, the calculation gives 9.44 g/cm3. Its crystal system is tetragonal. Its excess energy over the best structure of this formula in the dataset is 0.0 meV/atom. The energy relative to the elements is -0.18 eV per atom.



No. 2
The following is a DFT calculation (PBE) of crystalline MgZr2Cl at its relaxed geometry.

It has space group Pmmm (No. 47), with a = 3.1841 Å, b = 5.2237 Å, c = 5.3492 Å, α = 90.00°, β = 90.00° and γ = 90.00°. The inequivalent atoms are Mg at (0.0000, 0.0000, 0.0000), Zr at (0.0000, 0.5000, 0.5000), Zr at (0.5000, 0.5000, 0.0000) and Cl at (0.5000, 0.0000, 0.5000).

The volume is 89 Å³ per cell. For the density, the calculation gives 4.52 g/cm3. Its crystal system is orthorhombic. Its excess energy over the best structure of this formula in the dataset is 447.2 meV/atom.